Crystalline PmPd7Pb3 at its relaxed geometry. Source: Alexandria via LeMat-Bulk, functional PBE.

It has space group C2/m (No. 12), with a = 8.573 Å, b = 9.988 Å, c = 5.761 Å, α = 90.00°, β = 112.32° and γ = 90.00°. The inequivalent atoms are Pm at (0.000, 0.000, 0.000), Pd at (0.000, 0.000, 0.500), Pd at (0.176, 0.263, 0.177), Pd at (0.192, 0.500, 0.546), Pb at (0.000, 0.270, 0.500) and Pb at (0.000, 0.500, 0.000).

Its energy of formation from the pure elements is -27 kJ/mol of atoms. The value obtained for the calculated volume is 20.7 Å³ per atom. The total magnetization comes out at 0.000 μB/cell.